# 1
KCuTe: relaxed, PBE-GGA.

a b c (Å): 3.9051 3.9051 11.9420
angles (deg): 90.00 90.00 90.00
Closest atoms and distances in Å follow each position.
Space group I4mm (No. 107)
One atom of each set of equivalent atoms:
K (0.0000, 0.0000, 0.0000) [2 per cell]  1 Cu 2.99, 1 Te 3.32
Cu (0.0000, 0.0000, 0.2507) [2 per cell]  4 Te 2.78, 1 K 2.99
Te (0.0000, 0.0000, 0.7216) [2 per cell]  4 Cu 2.78

Summary:
- Energy relative to the elements, uncorrected: -222 meV/atom

---

# 2
KCu3Te3: relaxed, PBE-GGA.

a b c (Å): 9.7435 9.7435 4.2084
angles (deg): 90.00 90.00 120.00
Closest atoms and distances in Å follow each position.
Space group P6_3/m (No. 176)
One atom of each set of equivalent atoms:
K (0.3333, 0.6667, 0.2500) [2 per cell]  9 Te 3.58-3.63
Cu (0.0272, 0.1738, 0.2500) [6 per cell]  6 Cu 2.63-2.73, 4 Te 2.68-2.86
Te (0.0428, 0.3522, 0.7500) [6 per cell]  4 Cu 2.68-2.86

Summary:
- Energy relative to the elements, uncorrected: -192 meV/atom
- Relative energy among the computed polymorphs: 104.6 meV/atom

---

# 3
KCu2Te: relaxed, PBE-GGA.

a b c (Å): 9.1398 4.2949 5.9347
angles (deg): 90.00 105.62 90.00
Closest atoms and distances in Å follow each position.
Space group C2/m (No. 12)
One atom of each set of equivalent atoms:
K (0.0000, 0.0000, 0.0000) [2 per cell]  2 Cu 3.20
Cu (0.1968, 0.0000, 0.5354) [4 per cell]  2 Cu 2.44
Te (0.0000, 0.5000, 0.5000) [2 per cell]  6 Cu 2.77-2.84

Summary:
- Energy relative to the elements, uncorrected: -58 meV/atom

---

# 4
KCu3Te3: relaxed, PBE-GGA.

a b c (Å): 7.3146 7.3146 7.3146
angles (deg): 90.00 90.00 90.00
Closest atoms and distances in Å follow each position.
Space group Pm-3n (No. 223)
One atom of each set of equivalent atoms:
K (0.0000, 0.0000, 0.0000) [2 per cell]  12 Te 4.09, 12 Cu 4.09
Cu (0.0000, 0.2500, 0.5000) [6 per cell]  4 Te 2.59
Te (0.0000, 0.5000, 0.2500) [6 per cell]  4 Cu 2.59

Summary:
- Energy relative to the elements, uncorrected: -290 meV/atom
- Relative energy among the computed polymorphs: 6.3 meV/atom

---

Number 1: total moment 0.000 μB per atom. Number 2: total moment 0.000 μB per atom. Number 3: total moment 0.000 μB per atom. Number 4: total moment 0.000 μB per atom.